Below is a relaxed structure of ZnGa6Pb2, with properties calculated at the PBE level.

As for the size of the total moment: 0.000 μB per atom. The value obtained for the density of states at the Fermi level is 5.85 states/eV per cell. The energy of formation from the pure elements comes out at 0.04 eV/atom.

The space group is C2/m (No. 12) and the conventional cell measures 10.313, 5.972 and 6.428 Å, with angles of 90.00, 100.65 and 90.00 degrees. The asymmetric unit holds Zn at (0.000, 0.000, 0.000), Ga at (0.119, 0.270, 0.340), Ga at (0.132, 0.000, 0.684) and Pb at (0.166, 0.500, 0.867).